[1]
Entry from the Alexandria database: a relaxed YTc2Au crystal (PBE).

## Properties
Calculated density, kg/m³: 11021
DOS at the Fermi energy, states/eV/cell: 3.6
Space-group type: C2/m
Calculated formation energy, eV/atom: 0.27

abc: 4.919 5.644 3.015
angles: 76.56 85.44 114.49
Positions (direct):
Au 0.500 0.500 0.000
Y 0.000 0.500 0.500
Tc 0.000 0.000 0.000
Tc 0.500 0.000 0.500

---

[2]
Entry from the Alexandria database: a relaxed Y2Tc2Au crystal (PBE).

## Properties
Calculated density, kg/m³: 8891
DOS at the Fermi energy, states/eV/cell: 8.3
Space-group type: P4/mbm
Calculated formation energy, eV/atom: -0.16

abc: 7.011 7.011 4.338
angles: 90.00 90.00 90.00
Positions (direct):
Tc 0.615 0.115 0.000
Y 0.681 0.819 0.500
Au 0.000 0.000 0.000
Au 0.500 0.500 0.000
Tc 0.885 0.615 0.000
Y 0.819 0.319 0.500
Y 0.319 0.181 0.500
Y 0.181 0.681 0.500
Tc 0.115 0.385 0.000
Tc 0.385 0.885 0.000

---

[3]
Entry from the Alexandria database: a relaxed YTc2Au crystal (PBE).

## Properties
Calculated density, kg/m³: 10587
DOS at the Fermi energy, states/eV/cell: 5.6
Space-group type: Pmmm
Calculated formation energy, eV/atom: 0.37

abc: 2.929 4.229 6.103
angles: 90.00 90.00 90.00
Positions (direct):
Tc 0.000 0.000 0.946
Tc 0.000 0.000 0.554
Y 0.500 0.500 0.250
Au 0.500 0.500 0.750

---

[4]
Entry from the Alexandria database: a relaxed YTc2Au crystal (PBE).

## Properties
Calculated density, kg/m³: 9614
DOS at the Fermi energy, states/eV/cell: 12.1
Space-group type: I-42d
Calculated formation energy, eV/atom: 0.34

abc: 4.058 4.058 10.506
angles: 78.86 78.86 90.00
Positions (direct):
Tc 0.718 0.125 0.250
Au 0.750 0.250 0.500
Tc 0.032 0.625 0.250
Tc 0.375 0.282 0.750
Y 0.250 0.750 0.500
Tc 0.875 0.968 0.750
Y 0.500 0.500 0.000
Au 0.000 0.000 0.000

---

[5]
Entry from the Alexandria database: a relaxed YTc2Au crystal (PBE).

## Properties
Calculated density, kg/m³: 11159
DOS at the Fermi energy, states/eV/cell: 4.7
Space-group type: Cmmm
Calculated formation energy, eV/atom: 0.37

abc: 5.117 5.117 2.957
angles: 90.00 90.00 112.15
Positions (direct):
Y 0.500 0.000 0.500
Tc 0.500 0.500 0.000
Tc 0.000 0.000 0.000
Au 0.000 0.500 0.500

---

[6]
Entry from the Alexandria database: a relaxed YTc2Au crystal (PBE).

## Properties
Calculated density, kg/m³: 11108
DOS at the Fermi energy, states/eV/cell: 5.3
Space-group type: P4/mmm
Calculated formation energy, eV/atom: 0.15

abc: 4.471 4.014 4.014
angles: 90.00 90.00 90.00
Positions (direct):
Y 0.500 0.500 0.000
Tc 0.000 0.500 0.500
Au 0.500 0.000 0.500
Tc 0.000 0.000 0.000

---

[7]
Entry from the Alexandria database: a relaxed YTc2Au crystal (PBE).

## Properties
Calculated density, kg/m³: 11076
DOS at the Fermi energy, states/eV/cell: 5.8
Space-group type: Fm-3m
Calculated formation energy, eV/atom: 0.48

abc: 4.675 4.675 4.675
angles: 60.00 60.00 60.00
Positions (direct):
Tc 0.250 0.250 0.250
Tc 0.750 0.750 0.750
Au 0.500 0.500 0.500
Y 0.000 0.000 0.000

---

[8]
Entry from the Alexandria database: a relaxed YTc2Au crystal (PBE).

## Properties
Calculated density, kg/m³: 11079
DOS at the Fermi energy, states/eV/cell: 3.6
Space-group type: R3m
Calculated formation energy, eV/atom: 0.29

abc: 9.797 9.797 9.797
angles: 17.26 17.26 17.26
Positions (direct):
Tc 0.994 0.994 0.994
Y 0.502 0.502 0.502
Au 0.745 0.745 0.745
Tc 0.259 0.259 0.259

---

[9]
Entry from the Alexandria database: a relaxed YTc2Au crystal (PBE).

## Properties
Calculated density, kg/m³: 10440
DOS at the Fermi energy, states/eV/cell: 3.6
Space-group type: P2/m
Calculated formation energy, eV/atom: 0.20

abc: 4.924 3.299 4.731
angles: 85.93 90.00 90.00
Positions (direct):
Y 0.500 0.250 0.250
Tc 0.000 0.594 0.482
Au 0.500 0.750 0.750
Tc 0.000 0.906 0.018

---

[10]
Entry from the Alexandria database: a relaxed YTc2Au crystal (PBE).

## Properties
Calculated density, kg/m³: 11042
DOS at the Fermi energy, states/eV/cell: 3.5
Space-group type: F-43m
Calculated formation energy, eV/atom: 0.15

abc: 4.680 4.680 4.680
angles: 60.00 60.00 60.00
Positions (direct):
Y 0.250 0.250 0.250
Tc 0.000 0.000 0.000
Au 0.500 0.500 0.500
Tc 0.750 0.750 0.750

---

[11]
Entry from the Alexandria database: a relaxed YTc2Au crystal (PBE).

## Properties
Calculated density, kg/m³: 11111
DOS at the Fermi energy, states/eV/cell: 5.5
Space-group type: P4/mmm
Calculated formation energy, eV/atom: 0.49

abc: 2.835 2.835 8.958
angles: 90.00 90.00 90.00
Positions (direct):
Tc 0.000 0.000 0.519
Y 0.500 0.500 0.250
Tc 0.000 0.000 0.981
Au 0.500 0.500 0.750

---

[12]
Entry from the Alexandria database: a relaxed YTcAu crystal (PBE).

## Properties
Calculated density, kg/m³: 8866
DOS at the Fermi energy, states/eV/cell: 5.7
Space-group type: F-43m
Calculated formation energy, eV/atom: 0.76

abc: 4.667 4.667 4.667
angles: 60.00 60.00 60.00
Positions (direct):
Au 0.000 0.000 0.000
Y 0.250 0.250 0.250
Tc 0.500 0.500 0.500

---

[13]
Entry from the Alexandria database: a relaxed YTc2Au2 crystal (PBE).

## Properties
Calculated density, kg/m³: 11723
DOS at the Fermi energy, states/eV/cell: 9.2
Space-group type: P4/mbm
Calculated formation energy, eV/atom: 0.24

abc: 8.084 8.084 2.943
angles: 90.00 90.00 90.00
Positions (direct):
Au 0.189 0.311 0.000
Au 0.689 0.189 0.000
Y 0.000 0.000 0.000
Au 0.811 0.689 0.000
Y 0.500 0.500 0.000
Tc 0.399 0.101 0.500
Tc 0.601 0.899 0.500
Au 0.311 0.811 0.000
Tc 0.101 0.601 0.500
Tc 0.899 0.399 0.500

---

[14]
Entry from the Alexandria database: a relaxed YTc2Au crystal (PBE).

## Properties
Calculated density, kg/m³: 11166
DOS at the Fermi energy, states/eV/cell: 2.8
Space-group type: I-4m2
Calculated formation energy, eV/atom: 0.12

abc: 4.910 4.910 4.910
angles: 127.84 127.84 76.89
Positions (direct):
Tc 0.250 0.750 0.500
Tc 0.000 0.000 0.000
Au 0.750 0.250 0.500
Y 0.500 0.500 0.000

---

[15]
Entry from the Alexandria database: a relaxed YTc2Au2 crystal (PBE).

## Properties
Calculated density, kg/m³: 11718
DOS at the Fermi energy, states/eV/cell: 3.2
Space-group type: I4/mmm
Calculated formation energy, eV/atom: -0.06

abc: 3.701 3.701 7.496
angles: 75.71 75.71 90.00
Positions (direct):
Tc 0.250 0.750 0.500
Au 0.400 0.400 0.199
Y 0.000 0.000 0.000
Au 0.600 0.600 0.801
Tc 0.750 0.250 0.500

---

[16]
Entry from the Alexandria database: a relaxed YTc4Au crystal (PBE).

## Properties
Calculated density, kg/m³: 10793
DOS at the Fermi energy, states/eV/cell: 6.0
Space-group type: F-43m
Calculated formation energy, eV/atom: 0.12

abc: 5.284 5.284 5.284
angles: 60.00 60.00 60.00
Positions (direct):
Au 0.000 0.000 0.000
Tc 0.878 0.374 0.374
Tc 0.374 0.374 0.878
Tc 0.374 0.878 0.374
Y 0.750 0.750 0.750
Tc 0.374 0.374 0.374

---

[17]
Entry from the Alexandria database: a relaxed YTcAu crystal (PBE).

## Properties
Calculated density, kg/m³: 8903
DOS at the Fermi energy, states/eV/cell: 3.0
Space-group type: F-43m
Calculated formation energy, eV/atom: 0.34

abc: 4.661 4.661 4.661
angles: 60.00 60.00 60.00
Positions (direct):
Au 0.250 0.250 0.250
Tc 0.000 0.000 0.000
Y 0.500 0.500 0.500

---

[18]
Entry from the Alexandria database: a relaxed Y8TcAu2 crystal (PBE).

## Properties
Calculated density, kg/m³: 6512
DOS at the Fermi energy, states/eV/cell: 13.5
Space-group type: Cm
Calculated formation energy, eV/atom: -0.24

abc: 5.762 8.045 8.045
angles: 117.49 101.19 101.19
Positions (direct):
Au 0.499 0.706 0.308
Y 0.992 0.795 0.204
Au 0.499 0.308 0.706
Tc 0.097 0.004 0.004
Y 0.992 0.204 0.795
Y 0.374 0.674 0.910
Y 0.805 0.644 0.644
Y 0.374 0.910 0.674
Y 0.592 0.094 0.329
Y 0.183 0.365 0.365
Y 0.592 0.329 0.094

---

[19]
Entry from the Alexandria database: a relaxed YTc2Au crystal (PBE).

## Properties
Calculated density, kg/m³: 11050
DOS at the Fermi energy, states/eV/cell: 7.1
Space-group type: R-3m
Calculated formation energy, eV/atom: 0.65

abc: 9.851 9.851 9.851
angles: 17.14 17.14 17.14
Positions (direct):
Tc 0.495 0.495 0.495
Au 0.750 0.750 0.750
Y 0.250 0.250 0.250
Tc 0.005 0.005 0.005

---

[20]
Entry from the Alexandria database: a relaxed YTc2Au crystal (PBE).

## Properties
Calculated density, kg/m³: 9718
DOS at the Fermi energy, states/eV/cell: 2.2
Space-group type: C2/m
Calculated formation energy, eV/atom: 0.09

abc: 5.217 5.217 4.713
angles: 71.23 71.23 43.18
Positions (direct):
Tc 0.515 0.515 0.383
Au 0.250 0.250 0.250
Y 0.750 0.750 0.750
Tc 0.985 0.985 0.117